Record 1
## TbYMgIn (GGA-PBE)

Data for a geometry-optimized TbYMgIn structure.

Unit cell a=5.327 b=5.327 c=5.327 alpha=60.00 beta=60.00 gamma=60.00
Fractional positions:
Tb1 0.000 0.000 0.000
Y1 0.500 0.500 0.500
Mg1 0.250 0.250 0.250
In1 0.750 0.750 0.750

N(E_F): 2.69 states/eV per cell
Energy of formation: -0.343 eV/atom
V: 106.9 Å³ per cell

=====

Record 2
## Ta2Rh2F (GGA-PBE)

Data for a geometry-optimized Ta2Rh2F structure.

Unit cell a=7.030 b=7.030 c=7.030 alpha=148.55 beta=148.55 gamma=45.07
Fractional positions:
Ta1 0.120 0.120 0.000
Ta2 0.880 0.880 0.000
Rh1 0.250 0.750 0.500
Rh2 0.750 0.250 0.500
F1 0.500 0.500 0.000

N(E_F): 5.10 states/eV per cell
V: 94.3 Å³ per cell
Energy above the lowest structure with this stoichiometry: 0.5045 eV/atom